Record 1
CdIN2 | PBEsol | optimized geometry

Calculated values
Space-group type = R-3m (166)
Excess energy over the best structure of this formula in the dataset = 0 meV per atom
Energy relative to the elements, uncorrected = 5.3 eV/f.u.

Lattice parameters (Å, degrees): 3.632 3.632 6.544 73.89 73.89 60.00
Sites, in units of the cell vectors:
I1 0.500 0.500 0.500
N1 0.889 0.889 0.334
N2 0.111 0.111 0.666
Cd1 0.000 0.000 0.000

***

Record 2
ReNi2As | PBEsol | optimized geometry

Calculated values
Space-group type = R-3m (166)
Total energy = -7.63 eV/atom

Lattice parameters (Å, degrees): 2.711 2.711 8.144 80.42 80.42 60.00
Sites, in units of the cell vectors:
As1 0.000 0.000 0.000
Ni1 0.253 0.253 0.240
Ni2 0.747 0.747 0.760
Re1 0.500 0.500 0.500

***

Record 3
TlAgHg2 | PBEsol | optimized geometry

Calculated values
Space-group type = P4/mmm (123)
Total energy = -1.74 eV/atom

Lattice parameters (Å, degrees): 3.258 3.258 8.386 90.00 90.00 90.00
Sites, in units of the cell vectors:
Tl1 0.500 0.500 0.000
Hg1 0.000 0.000 0.716
Hg2 0.000 0.000 0.284
Ag1 0.500 0.500 0.500

***

Record 4
KCuIr | PBEsol | optimized geometry

Calculated values
Space-group type = F-43m (216)
Excess energy over the best structure of this formula in the dataset = 727 meV per atom

Lattice parameters (Å, degrees): 4.507 4.507 4.507 60.00 60.00 60.00
Site moments in Bohr magnetons follow the coordinates.
Sites, in units of the cell vectors:
Cu1 0.000 0.000 0.000  0.02
Ir1 0.500 0.500 0.500  0.72
K1 0.250 0.250 0.250  0.01

***

Record 5
CsSi3Cl | PBEsol | optimized geometry

Calculated values
Space-group type = Pm-3m (221)
Energy relative to the elements, uncorrected = 4.8 eV/f.u.

Lattice parameters (Å, degrees): 5.050 5.050 5.050 90.00 90.00 90.00
Sites, in units of the cell vectors:
Cs1 0.500 0.500 0.500
Si1 0.000 0.500 0.000
Si2 0.000 0.000 0.500
Si3 0.500 0.000 0.000
Cl1 0.000 0.000 0.000

***

Record 6
CaSb2Rh2 | PBEsol | optimized geometry

Calculated values
Space-group type = I4/mmm (139)
Energy relative to the elements, uncorrected = -3.1 eV/f.u.

Lattice parameters (Å, degrees): 4.355 4.355 6.377 109.97 109.97 90.00
Sites, in units of the cell vectors:
Sb1 0.628 0.628 0.256
Sb2 0.372 0.372 0.744
Ca1 0.000 0.000 0.000
Rh1 0.250 0.750 0.500
Rh2 0.750 0.250 0.500

***

Record 7
TcRu | PBEsol | optimized geometry

Calculated values
Space-group type = Cm (8)
Excess energy over the best structure of this formula in the dataset = 15 meV per atom

Lattice parameters (Å, degrees): 2.702 5.069 6.350 103.12 89.98 105.43
Sites, in units of the cell vectors:
Ru1 0.000 0.000 0.000
Ru2 0.389 0.779 0.277
Ru3 0.334 0.667 0.667
Tc1 0.668 0.334 0.332
Tc2 0.053 0.107 0.612
Tc3 0.723 0.447 0.946

***

Record 8
LiLaSi2 | PBEsol | optimized geometry

Calculated values
Space-group type = Amm2 (38)
Excess energy over the best structure of this formula in the dataset = 46 meV per atom
Energy relative to the elements, uncorrected = -1.9 eV/f.u.

Lattice parameters (Å, degrees): 3.859 4.279 5.739 111.89 90.00 90.00
Sites, in units of the cell vectors:
Si1 0.000 0.822 0.645
Si2 0.500 0.690 0.380
La1 0.000 0.104 0.209
Li1 0.500 0.370 0.741

***

Record 9
Mg3Hg5 | PBEsol | optimized geometry

Calculated values
Space-group type = P6_3/mcm (193)
Excess energy over the best structure of this formula in the dataset = 51 meV per atom

Lattice parameters (Å, degrees): 5.888 8.318 8.318 120.00 90.00 90.00
Sites, in units of the cell vectors:
Hg1 0.750 0.275 0.775
Hg2 0.250 0.725 0.225
Hg3 0.750 0.500 0.225
Hg4 0.250 0.276 0.000
Hg5 0.500 0.833 0.666
Hg6 0.000 0.833 0.666
Hg7 0.500 0.167 0.334
Hg8 0.000 0.167 0.334
Hg9 0.250 0.500 0.775
Hg10 0.750 0.724 0.000
Mg1 0.250 0.098 0.598
Mg2 0.750 0.902 0.402
Mg3 0.250 0.500 0.402
Mg4 0.750 0.097 0.000
Mg5 0.750 0.500 0.598
Mg6 0.250 0.903 0.000

***

Record 10
ZrHgSe2 | PBEsol | optimized geometry

Calculated values
Space-group type = Amm2 (38)
Excess energy over the best structure of this formula in the dataset = 232 meV per atom
Energy relative to the elements, uncorrected = -2.9 eV/f.u.

Lattice parameters (Å, degrees): 3.737 4.156 5.920 90.00 108.40 90.00
Sites, in units of the cell vectors:
Hg1 0.636 0.500 0.273
Se1 0.138 0.000 0.277
Se2 0.397 0.500 0.793
Zr1 0.817 0.000 0.633

***

Record 11
Sc3SiAg | PBEsol | optimized geometry

Calculated values
Space-group type = Pm-3m (221)
Energy relative to the elements, uncorrected = 0.3 eV/f.u.

Lattice parameters (Å, degrees): 4.947 4.947 4.947 90.00 90.00 90.00
Site moments in Bohr magnetons follow the coordinates.
Sites, in units of the cell vectors:
Sc1 0.000 0.500 0.000  0.25
Sc2 0.000 0.000 0.500  0.25
Sc3 0.500 0.000 0.000  0.25
Si1 0.000 0.000 0.000  -0.01
Ag1 0.500 0.500 0.500  0.04

***

Record 12
Mg2Tl3 | PBEsol | optimized geometry

Calculated values
Space-group type = R-3m (166)
Excess energy over the best structure of this formula in the dataset = 0 meV per atom

Lattice parameters (Å, degrees): 3.451 3.451 12.339 81.96 81.96 60.00
Sites, in units of the cell vectors:
Tl1 0.000 0.000 0.000
Tl2 0.202 0.202 0.393
Tl3 0.798 0.798 0.607
Mg1 0.602 0.602 0.193
Mg2 0.398 0.398 0.807

***

> Number 11 is which compound?

Sc3SiAg